(1)
CsOs3Cl | PBEsol | optimized geometry

The structure in CIF format:
```
data_CsOs3Cl
_space_group_name_H-M_alt 'P m -3 m'
_space_group_IT_number 221
_space_group_name_Hall '-P 4 2 3'
_cell_length_a 5.0077
_cell_length_b 5.0077
_cell_length_c 5.0077
_cell_angle_alpha 90.00
_cell_angle_beta 90.00
_cell_angle_gamma 90.00
loop_
_atom_site_label
_atom_site_type_symbol
_atom_site_fract_x
_atom_site_fract_y
_atom_site_fract_z
Cs1 Cs 0.0000 0.0000 0.0000
Os1 Os 0.0000 0.0000 0.5000
Cl1 Cl 0.5000 0.5000 0.5000
```

Values from the calculation:
volume = 25.1 Å³/atom
E_form (uncorrected) = 4.19 eV per atom

(2)
TlFe2Os | PBEsol | optimized geometry

The structure in CIF format:
```
data_TlFe2Os
_space_group_name_H-M_alt 'F -4 3 m'
_space_group_IT_number 216
_space_group_name_Hall 'F -4 2 3'
_cell_length_a 6.1585
_cell_length_b 6.1585
_cell_length_c 6.1585
_cell_angle_alpha 90.00
_cell_angle_beta 90.00
_cell_angle_gamma 90.00
loop_
_atom_site_label
_atom_site_type_symbol
_atom_site_fract_x
_atom_site_fract_y
_atom_site_fract_z
Tl1 Tl 0.0000 0.0000 0.0000
Fe1 Fe 0.0000 0.0000 0.5000
Fe2 Fe 0.2500 0.2500 0.2500
Os1 Os 0.2500 0.2500 0.7500
```

Values from the calculation:
volume = 14.6 Å³/atom
energy of formation from the pure elements = 0.6938 eV per atom
energy above the most stable polymorph in this dataset = 120 meV per atom

(3)
ScAl2MoAu | PBEsol | optimized geometry

The structure in CIF format:
```
data_ScAl2MoAu
_space_group_name_H-M_alt 'P 4/m m m'
_space_group_IT_number 123
_space_group_name_Hall '-P 4 2'
_cell_length_a 4.6510
_cell_length_b 4.6510
_cell_length_c 5.0607
_cell_angle_alpha 90.00
_cell_angle_beta 90.00
_cell_angle_gamma 90.00
loop_
_atom_site_label
_atom_site_type_symbol
_atom_site_fract_x
_atom_site_fract_y
_atom_site_fract_z
Sc1 Sc 0.0000 0.0000 0.0000
Al1 Al 0.0000 0.5000 0.5000
Mo1 Mo 0.5000 0.5000 0.0000
Au1 Au 0.0000 0.0000 0.5000
```

Values from the calculation:
volume = 21.9 Å³/atom
energy of formation from the pure elements = 0.7755 eV per atom

(4)
NiHCBr2 | PBEsol | optimized geometry

The structure in CIF format:
```
data_NiHCBr2
_space_group_name_H-M_alt 'P 4/m m m'
_space_group_IT_number 123
_space_group_name_Hall '-P 4 2'
_cell_length_a 4.6783
_cell_length_b 4.6783
_cell_length_c 3.1933
_cell_angle_alpha 90.00
_cell_angle_beta 90.00
_cell_angle_gamma 90.00
loop_
_atom_site_label
_atom_site_type_symbol
_atom_site_fract_x
_atom_site_fract_y
_atom_site_fract_z
Ni1 Ni 0.0000 0.0000 0.0000
H1 H 0.0000 0.0000 0.5000
C1 C 0.5000 0.5000 0.5000
Br1 Br 0.0000 0.5000 0.0000
```

Values from the calculation:
volume = 14.0 Å³/atom
DFT total energy = -3.277 eV per atom

(5)
LiBe2Au2 | PBEsol | optimized geometry

The structure in CIF format:
```
data_LiBe2Au2
_space_group_name_H-M_alt 'P 4/m b m'
_space_group_IT_number 127
_space_group_name_Hall '-P 4 2ab'
_cell_length_a 6.7665
_cell_length_b 6.7665
_cell_length_c 2.7876
_cell_angle_alpha 90.00
_cell_angle_beta 90.00
_cell_angle_gamma 90.00
loop_
_atom_site_label
_atom_site_type_symbol
_atom_site_fract_x
_atom_site_fract_y
_atom_site_fract_z
Li1 Li 0.0000 0.0000 0.0000
Be1 Be 0.1246 0.3754 0.0000
Au1 Au 0.1713 0.6713 0.5000
```

Values from the calculation:
volume = 12.8 Å³/atom
energy of formation from the pure elements = -0.3388 eV per atom

(6)
AlZn2Tc | PBEsol | optimized geometry

The structure in CIF format:
```
data_AlZn2Tc
_space_group_name_H-M_alt 'I 4/m m m'
_space_group_IT_number 139
_space_group_name_Hall '-I 4 2'
_cell_length_a 3.5736
_cell_length_b 3.5736
_cell_length_c 8.5145
_cell_angle_alpha 90.00
_cell_angle_beta 90.00
_cell_angle_gamma 90.00
loop_
_atom_site_label
_atom_site_type_symbol
_atom_site_fract_x
_atom_site_fract_y
_atom_site_fract_z
Al1 Al 0.0000 0.0000 0.0000
Zn1 Zn 0.0000 0.5000 0.2500
Tc1 Tc 0.0000 0.0000 0.5000
```

Values from the calculation:
volume = 13.6 Å³/atom
energy of formation from the pure elements = -0.1768 eV per atom

(7)
NaAlSiO4 | PBEsol | optimized geometry

The structure in CIF format:
```
data_NaAlSiO4
_space_group_name_H-M_alt 'R 3 c'
_space_group_IT_number 161
_space_group_name_Hall 'R 3 -2"c'
_cell_length_a 12.9581
_cell_length_b 12.9581
_cell_length_c 15.6669
_cell_angle_alpha 90.00
_cell_angle_beta 90.00
_cell_angle_gamma 120.00
loop_
_atom_site_label
_atom_site_type_symbol
_atom_site_fract_x
_atom_site_fract_y
_atom_site_fract_z
Na1 Na 0.0358 0.5159 0.0000
Al1 Al 0.0903 0.4212 0.6708
Si1 Si 0.0005 0.2506 0.5035
O1 O 0.0335 0.3605 0.0753
O2 O 0.0367 0.3618 0.5691
O3 O 0.0986 0.2089 0.4962
O4 O 0.1917 0.3977 0.2036
```

Values from the calculation:
volume = 18.1 Å³/atom
energy above the most stable polymorph in this dataset = 26 meV per atom
E_form (uncorrected) = -2.72 eV per atom

(8)
ZnCd4 | PBEsol | optimized geometry

The structure in CIF format:
```
data_ZnCd4
_space_group_name_H-M_alt 'I 4/m'
_space_group_IT_number 87
_space_group_name_Hall '-I 4'
_cell_length_a 6.7918
_cell_length_b 6.7918
_cell_length_c 4.2476
_cell_angle_alpha 90.00
_cell_angle_beta 90.00
_cell_angle_gamma 90.00
loop_
_atom_site_label
_atom_site_type_symbol
_atom_site_fract_x
_atom_site_fract_y
_atom_site_fract_z
Zn1 Zn 0.0000 0.0000 0.0000
Cd1 Cd 0.1010 0.2949 0.5000
```

Values from the calculation:
volume = 19.6 Å³/atom
energy of formation from the pure elements = 0.0532 eV per atom

(9)
Sr2InN2 | PBEsol | optimized geometry

The structure in CIF format:
```
data_Sr2InN2
_space_group_name_H-M_alt 'C m c e'
_space_group_IT_number 64
_space_group_name_Hall '-C 2ac 2'
_cell_length_a 5.3126
_cell_length_b 11.8555
_cell_length_c 12.5891
_cell_angle_alpha 90.00
_cell_angle_beta 90.00
_cell_angle_gamma 90.00
loop_
_atom_site_label
_atom_site_type_symbol
_atom_site_fract_x
_atom_site_fract_y
_atom_site_fract_z
Sr1 Sr 0.0000 0.0383 0.1414
Sr2 Sr 0.0000 0.1411 0.5508
In1 In 0.0000 0.2372 0.3200
N1 N 0.0000 0.0620 0.3601
N2 N 0.0000 0.1542 0.9512
```

Values from the calculation:
volume = 19.8 Å³/atom
E_form (uncorrected) = -0.52 eV per atom

(10)
HgOs2Ru | PBEsol | optimized geometry

The structure in CIF format:
```
data_HgOs2Ru
_space_group_name_H-M_alt 'P 4/m m m'
_space_group_IT_number 123
_space_group_name_Hall '-P 4 2'
_cell_length_a 3.8823
_cell_length_b 3.8823
_cell_length_c 3.9943
_cell_angle_alpha 90.00
_cell_angle_beta 90.00
_cell_angle_gamma 90.00
loop_
_atom_site_label
_atom_site_type_symbol
_atom_site_fract_x
_atom_site_fract_y
_atom_site_fract_z
Hg1 Hg 0.0000 0.0000 0.0000
Os1 Os 0.0000 0.5000 0.5000
Ru1 Ru 0.5000 0.5000 0.0000
```

Values from the calculation:
volume = 15.1 Å³/atom
energy of formation from the pure elements = 0.8959 eV per atom

(11)
Si2TcOs | PBEsol | optimized geometry

The structure in CIF format:
```
data_Si2TcOs
_space_group_name_H-M_alt 'P 4/m m m'
_space_group_IT_number 123
_space_group_name_Hall '-P 4 2'
_cell_length_a 2.9374
_cell_length_b 2.9374
_cell_length_c 5.8771
_cell_angle_alpha 90.00
_cell_angle_beta 90.00
_cell_angle_gamma 90.00
loop_
_atom_site_label
_atom_site_type_symbol
_atom_site_fract_x
_atom_site_fract_y
_atom_site_fract_z
Si1 Si 0.0000 0.0000 0.2468
Tc1 Tc 0.5000 0.5000 0.0000
Os1 Os 0.5000 0.5000 0.5000
```

Values from the calculation:
volume = 12.7 Å³/atom
energy above the most stable polymorph in this dataset = 19 meV per atom
E_form (uncorrected) = -0.48 eV per atom

(12)
TlCdFe2 | PBEsol | optimized geometry

The structure in CIF format:
```
data_TlCdFe2
_space_group_name_H-M_alt 'P 4 m m'
_space_group_IT_number 99
_cell_length_a 3.0847
_cell_length_b 3.0847
_cell_length_c 7.0149
_cell_angle_alpha 90.00
_cell_angle_beta 90.00
_cell_angle_gamma 90.00
loop_
_space_group_symop_operation_xyz
'x,y,z'
'-y,x,z'
'-x,-y,z'
'y,-x,z'
'-x,y,z'
'y,x,z'
'x,-y,z'
'-y,-x,z'
loop_
_atom_site_label
_atom_site_type_symbol
_atom_site_fract_x
_atom_site_fract_y
_atom_site_fract_z
Tl1 Tl 0.0000 0.0000 0.0000
Cd1 Cd 0.5000 0.5000 0.3387
Fe1 Fe 0.0000 0.0000 0.5860
Fe2 Fe 0.5000 0.5000 0.7347
```

Values from the calculation:
volume = 16.7 Å³/atom
energy of formation from the pure elements = 0.3430 eV per atom

| no. | mass density (g cm⁻³) |
| --- | --- |
| 1 | 9.77 |
| 2 | 14.40 |
| 3 | 5.94 |
| 4 | 5.50 |
| 5 | 10.90 |
| 6 | 7.81 |
| 7 | 1.86 |
| 8 | 8.73 |
| 9 | 5.33 |
| 10 | 18.81 |
| 11 | 11.28 |
| 12 | 10.66 |